Compound: SiH12N4F4
Source: the Alexandria database
Functional: PBEsol
Structure: optimized geometry

```
SiH12N4F4
1.0
5.306 -0.085 0.000
-0.753 5.253 0.000
0.000 0.000 12.646
N F H Si
8 8 24 2
Direct
0.608 0.392 0.196
0.392 0.608 0.804
0.314 0.686 0.589
0.186 0.814 0.089
0.892 0.108 0.696
0.108 0.892 0.304
0.686 0.314 0.411
0.814 0.186 0.911
0.588 0.764 0.422
0.912 0.736 0.922
0.264 0.088 0.922
0.736 0.912 0.078
0.236 0.412 0.422
0.412 0.236 0.578
0.764 0.588 0.578
0.088 0.264 0.078
0.640 0.120 0.423
0.860 0.380 0.923
0.120 0.640 0.577
0.620 0.140 0.923
0.924 0.837 0.331
0.663 0.576 0.169
0.380 0.860 0.077
0.424 0.337 0.169
0.837 0.924 0.669
0.219 0.781 0.343
0.360 0.880 0.577
0.576 0.663 0.831
0.650 0.350 0.328
0.850 0.150 0.828
0.281 0.719 0.843
0.140 0.620 0.077
0.076 0.163 0.669
0.150 0.850 0.172
0.163 0.076 0.331
0.350 0.650 0.672
0.337 0.424 0.831
0.781 0.219 0.657
0.880 0.360 0.423
0.719 0.281 0.157
0.000 0.000 0.000
0.500 0.500 0.500
```

Values from the calculation:
total DFT energy (no corrections) = -5.2947 eV per atom
size of the total moment = 0.06 μB per formula unit